Compound: NbTlRhSe3
Source: Alexandria
Functional: PBE
Structure: relaxed

Results
The calculation puts the formation energy from raw total energies at -591 meV per atom. The raw total energy comes out at -5.6307 eV/atom. The value obtained for the magnetization is 0.00 Bohr magnetons per cell. Its crystal system is monoclinic.

POSCAR file:
```
NbTlRhSe3
1.0
8.2028 0.0000 0.0000
0.0000 3.6166 0.0000
-4.0068 0.0000 9.4906
Nb Tl Rh Se
2 2 2 6
direct
0.2122 0.2500 0.1661
0.7878 0.7500 0.8339
0.2254 0.7500 0.7026
0.7746 0.2500 0.2974
0.4237 0.7500 0.3722
0.5763 0.2500 0.6278
0.0503 0.2500 0.8787
0.2550 0.2500 0.4285
0.4180 0.7500 0.1275
0.5820 0.2500 0.8725
0.7450 0.7500 0.5715
0.9497 0.7500 0.1213
```